The following is a DFT calculation (SCAN) of SrPSe2 at its PBEsol-relaxed geometry.

a = 3.8430 Å, b = 3.8430 Å, c = 25.9088 Å
α = 90.00°, β = 90.00°, γ = 120.00°
With the nearest neighbours (Å) after each atom.
Space group R-3m (No. 166, hexagonal axes)
One atom of each set of equivalent atoms:
Sr 0.0000 0.0000 0.0000 x3  2 Se 2.95
P 0.0000 0.0000 0.5000 x3  6 Se 2.60
Se 0.0000 0.0000 0.1140 x6  3 P 2.60

Computed properties:
Calculated volume (Å³/f.u.): 110.5
Formation energy (no corrections) (eV/atom): -0.15



The following is a DFT calculation (SCAN) of Sr2PSe at its PBEsol-relaxed geometry.

a = 7.3436 Å, b = 7.3436 Å, c = 7.3436 Å
α = 90.00°, β = 90.00°, γ = 90.00°
With the nearest neighbours (Å) after each atom.
Space group F-43m (No. 216)
One atom of each set of equivalent atoms:
Sr 0.0000 0.0000 0.0000 x4  4 Sr 3.18, 4 Se 3.18
Sr 0.2500 0.2500 0.2500 x4  4 P 3.18, 4 Sr 3.18
P 0.0000 0.0000 0.5000 x4  4 Se 3.18, 4 Sr 3.18
Se 0.2500 0.2500 0.7500 x4  4 Sr 3.18, 4 P 3.18

Computed properties:
Calculated volume (Å³/f.u.): 99.0
Energy above the most stable polymorph in this dataset (eV/atom): 1.0542
Formation energy (no corrections) (eV/atom): -0.50



The following is a DFT calculation (SCAN) of Sr2PSe at its PBEsol-relaxed geometry.

a = 4.2842 Å, b = 4.2842 Å, c = 11.6650 Å
α = 90.00°, β = 90.00°, γ = 90.00°
With the nearest neighbours (Å) after each atom.
Space group I-4m2 (No. 119)
One atom of each set of equivalent atoms:
Sr 0.0000 0.0000 0.0000 x2  4 Se 3.03
Sr 0.0000 0.5000 0.2500 x2  4 P 3.03
P 0.0000 0.5000 0.7500 x2  4 Sr 3.03
Se 0.0000 0.0000 0.5000 x2  4 Sr 3.03

Computed properties:
Calculated volume (Å³/f.u.): 107.1
Energy above the most stable polymorph in this dataset (eV/atom): 0.3316
Formation energy (no corrections) (eV/atom): -1.22



The following is a DFT calculation (SCAN) of Sr2PSe at its PBEsol-relaxed geometry.

a = 4.2527 Å, b = 4.2527 Å, c = 22.4894 Å
α = 90.00°, β = 90.00°, γ = 120.00°
With the nearest neighbours (Å) after each atom.
Space group R-3m (No. 166, hexagonal axes)
One atom of each set of equivalent atoms:
Sr 0.0000 0.0000 0.2487 x6  3 Se 3.07, 3 P 3.11
P 0.0000 0.0000 0.0000 x3  6 Sr 3.11
Se 0.0000 0.0000 0.5000 x3  6 Sr 3.07

Computed properties:
Calculated volume (Å³/f.u.): 117.4
Energy above the most stable polymorph in this dataset (eV/atom): 0.0000
Formation energy (no corrections) (eV/atom): -1.55



The following is a DFT calculation (SCAN) of Ta2PSe at its PBEsol-relaxed geometry.

a = 8.9424 Å, b = 3.1982 Å, c = 4.5832 Å
α = 90.00°, β = 104.34°, γ = 90.00°
With the nearest neighbours (Å) after each atom.
Space group Cm (No. 8)
One atom of each set of equivalent atoms:
Ta 0.0000 0.0000 0.0000 x2  3 Se 2.60-2.61, 4 P 2.74-2.85
Ta 0.2310 0.0000 0.6194 x2  3 P 2.54-2.59, 2 Se 2.71
P 0.0036 0.5000 0.5168 x2  5 Ta 2.54-2.74
Se 0.2370 0.5000 0.1454 x2  7 Ta 2.60-2.88

Computed properties:
Calculated volume (Å³/f.u.): 63.5
Formation energy (no corrections) (eV/atom): -0.41



The following is a DFT calculation (SCAN) of TaP2Se at its PBEsol-relaxed geometry.

a = 3.1637 Å, b = 6.0228 Å, c = 8.5351 Å
α = 90.00°, β = 90.00°, γ = 90.00°
With the nearest neighbours (Å) after each atom.
Space group Cmm2 (No. 35)
One atom of each set of equivalent atoms:
Ta 0.0000 0.0000 0.0000 x2  2 Se 2.47, 2 P 2.55
P 0.0000 0.0000 0.4016 x2  2 P 2.13
P 0.0000 0.5000 0.2342 x2  2 P 2.13
Se 0.0000 0.5000 0.7776 x2  2 Ta 2.47

Computed properties:
Calculated volume (Å³/f.u.): 81.3
Formation energy (no corrections) (eV/atom): 0.27



The following is a DFT calculation (SCAN) of Ta11P2Se8 at its PBEsol-relaxed geometry.

a = 11.8738 Å, b = 19.1448 Å, c = 3.4094 Å
α = 90.00°, β = 90.00°, γ = 90.00°
With the nearest neighbours (Å) after each atom.
Space group Pnnm (No. 58)
One atom of each set of equivalent atoms:
Ta 0.0000 0.0000 0.0000 x2  2 P 2.63, 2 Se 2.79, 8 Ta 2.88
Ta 0.0503 0.2421 0.0000 x4  4 Se 2.61-2.70, 1 P 2.75
Ta 0.0667 0.1138 0.5000 x4  2 P 2.51, 3 Se 2.65-2.68
Ta 0.1528 0.7887 0.5000 x4  2 P 2.48, 3 Se 2.64-2.69
Ta 0.1781 0.9506 0.5000 x4  2 P 2.50, 3 Se 2.53-2.70
Ta 0.1796 0.3549 0.5000 x4  4 Se 2.60-2.74, 1 P 2.79
P 0.0874 0.8735 0.0000 x4  8 Ta 2.48-2.75
Se 0.0389 0.6704 0.5000 x4  4 Ta 2.61-2.64
Se 0.1087 0.4474 0.0000 x4  3 Ta 2.53-2.60
Se 0.2156 0.0576 0.0000 x4  5 Ta 2.68-2.79
Se 0.2203 0.2141 0.5000 x4  6 Ta 2.65-2.74

Computed properties:
Calculated volume (Å³/f.u.): 387.5
Formation energy (no corrections) (eV/atom): -0.74



The following is a DFT calculation (SCAN) of TaP2Se at its PBEsol-relaxed geometry.

a = 3.4729 Å, b = 4.7093 Å, c = 4.4290 Å
α = 90.00°, β = 101.84°, γ = 90.00°
With the nearest neighbours (Å) after each atom.
Space group P2/m (No. 10)
One atom of each set of equivalent atoms:
Ta 0.0000 0.0000 0.0000 x1  2 Se 2.52, 4 P 2.60
P 0.2011 0.5000 0.8365 x2  2 P 2.21-2.27
Se 0.5000 0.0000 0.5000 x1  2 Ta 2.52

Computed properties:
Calculated volume (Å³/f.u.): 70.9
Formation energy (no corrections) (eV/atom): 0.02